# 1
# Tb3CoBi PBE optimized geometry
data_Tb3CoBi
_symmetry_space_group_name_H-M 'P 1'
_symmetry_Int_Tables_number 1
_cell_length_a 8.0357
_cell_length_b 4.3314
_cell_length_c 8.4565
_cell_angle_alpha 90.00
_cell_angle_beta 115.16
_cell_angle_gamma 90.00
loop_
_symmetry_equiv_pos_as_xyz
'x,y,z'
loop_
_atom_site_label
_atom_site_type_symbol
_atom_site_fract_x
_atom_site_fract_y
_atom_site_fract_z
Tb1 Tb 0.0378 0.2500 0.2459
Tb2 Tb 0.3219 0.7500 0.5897
Tb3 Tb 0.3284 0.2500 0.9107
Tb4 Tb 0.6716 0.7500 0.0893
Tb5 Tb 0.6781 0.2500 0.4103
Tb6 Tb 0.9622 0.7500 0.7541
Co1 Co 0.0652 0.2500 0.5828
Co2 Co 0.9348 0.7500 0.4172
Bi1 Bi 0.3228 0.7500 0.1990
Bi2 Bi 0.6772 0.2500 0.8010
# offset from the most stable computed form = 0 meV per atom

---

# 2
VASP calculation (PBE) on an optimized crystal structure of Tb6CoBi.

```
data_Tb6CoBi
_symmetry_space_group_name_H-M 'P 1'
_symmetry_Int_Tables_number 1
_cell_length_a 6.7324
_cell_length_b 6.7425
_cell_length_c 7.7335
_cell_angle_alpha 64.20
_cell_angle_beta 64.33
_cell_angle_gamma 60.10
loop_
_symmetry_equiv_pos_as_xyz
'x,y,z'
loop_
_atom_site_label
_atom_site_type_symbol
_atom_site_fract_x
_atom_site_fract_y
_atom_site_fract_z
Tb1 Tb 0.0359 0.4094 0.2774
Tb2 Tb 0.2243 0.9644 0.7217
Tb3 Tb 0.4084 0.7768 0.2780
Tb4 Tb 0.5916 0.2232 0.7220
Tb5 Tb 0.7757 0.0356 0.2783
Tb6 Tb 0.9641 0.5906 0.7226
Co1 Co 0.0000 0.0000 0.5000
Bi1 Bi 0.5000 0.5000 0.0000
```

---

# 3
VASP calculation (PBE) on an optimized crystal structure of CoTc3Bi.

```
data_CoTc3Bi
_symmetry_space_group_name_H-M 'P 1'
_symmetry_Int_Tables_number 1
_cell_length_a 4.5001
_cell_length_b 4.5001
_cell_length_c 4.5001
_cell_angle_alpha 90.00
_cell_angle_beta 90.00
_cell_angle_gamma 90.00
loop_
_symmetry_equiv_pos_as_xyz
'x,y,z'
loop_
_atom_site_label
_atom_site_type_symbol
_atom_site_fract_x
_atom_site_fract_y
_atom_site_fract_z
Co1 Co 0.0000 0.0000 0.0000
Tc1 Tc 0.0000 0.0000 0.5000
Tc2 Tc 0.0000 0.5000 0.0000
Tc3 Tc 0.5000 0.0000 0.0000
Bi1 Bi 0.5000 0.5000 0.5000
```

---

What ΔH_f (0 K) values result from the calculations? In sequence: -0.44; -0.09; 1.21 eV/atom.